# Pr2Mg2Ag

Pr2Mg2Ag after structural relaxation (PBE, Alexandria via LeMat-Bulk).

Cell: 6.192 6.192 9.619 Å, 104.93 104.93 49.68°
Atoms (fractional coordinates):
Pr: 0.029 0.029 0.346
Pr: 0.169 0.169 0.071
Pr: 0.831 0.831 0.929
Pr: 0.971 0.971 0.654
Mg: 0.349 0.349 0.428
Mg: 0.486 0.486 0.144
Mg: 0.514 0.514 0.856
Mg: 0.651 0.651 0.572
Ag: 0.262 0.262 0.689
Ag: 0.738 0.738 0.311

Output
ΔE to the lowest computed polymorph   20.4 meV/atom
Calculated total energy   -3.23 eV per atom
Crystal system   monoclinic
Formation energy from the elements   -0.113 eV per atom

# Pr2Mg6Ag3

Pr2Mg6Ag3 after structural relaxation (PBE, Alexandria via LeMat-Bulk).

Cell: 8.387 8.387 4.472 Å, 90.00 90.00 120.00°
Atoms (fractional coordinates):
Pr: 0.333 0.667 0.000
Pr: 0.667 0.333 0.000
Mg: 0.000 0.206 0.000
Mg: 0.000 0.715 0.500
Mg: 0.206 0.000 0.000
Mg: 0.285 0.285 0.500
Mg: 0.715 0.000 0.500
Mg: 0.794 0.794 0.000
Ag: 0.000 0.392 0.500
Ag: 0.392 0.000 0.500
Ag: 0.608 0.608 0.500

Output
Calculated total energy   -2.63 eV per atom
Crystal system   hexagonal
Formation energy from the elements   -0.117 eV per atom